Tc2I3Cl4 PBE-GGA optimized geometry; VASP energy = -3.99 eV per atom; raw formation energy = -350 meV per atom; symmetry = No. 15
1.0
10.267 -5.037 0.000
10.267 5.037 0.000
-1.299 0.000 6.242
Tc I Cl
4 6 8
direct
0.131 0.358 0.490 Tc
0.358 0.131 0.990 Tc
0.642 0.869 0.010 Tc
0.869 0.642 0.510 Tc
0.076 0.256 0.095 I
0.256 0.076 0.595 I
0.475 0.525 0.750 I
0.525 0.475 0.250 I
0.744 0.924 0.405 I
0.924 0.744 0.905 I
0.089 0.571 0.398 Cl
0.236 0.376 0.858 Cl
0.376 0.236 0.358 Cl
0.429 0.911 0.102 Cl
0.571 0.089 0.898 Cl
0.624 0.764 0.642 Cl
0.764 0.624 0.142 Cl
0.911 0.429 0.602 Cl